VASP calculation (PBE) on an optimized crystal structure of La4NdSb2.

Lattice parameters (Å, degrees): 5.488 5.488 9.364 107.04 107.04 90.00
Fractional positions:
La (0.820, 0.820, 0.641)
La (0.180, 0.180, 0.359)
La (0.000, 0.500, 0.000)
La (0.500, 0.000, 0.000)
Nd (0.000, 0.000, 0.000)
Sb (0.634, 0.634, 0.268)
Sb (0.366, 0.366, 0.732)

theoretical density = 6.10 g/cm³
energy = -4.754 eV per atom
ΔE_f (raw) = -0.079 eV/atom